# Ce2MnHg

Crystalline Ce2MnHg at its relaxed geometry (PBE, Alexandria).

Properties
DFT formation energy   0.026 eV/atom
SG   No. 123

Lattice parameters (Å, degrees): 4.732 4.428 4.428 90.00 90.00 90.00
Site moments in Bohr magnetons follow the coordinates.
Positions (direct):
1 Ce 0.000 0.000 0.500  -0.71
2 Hg 0.500 0.500 0.500  -0.04
3 Mn 0.500 0.000 0.000  3.57
4 Ce 0.000 0.500 0.000  -0.71